1.
Entry from the Alexandria database: a geometry-optimized Hf4CuC structure (PBE).

## Properties
ΔE_f   -0.077 eV/atom
Calculated total energy   -8.93 eV/atom
Magnetization   0.0000 μB/atom

Unit cell a=7.960 b=7.960 c=7.314 alpha=90.00 beta=90.00 gamma=90.00
Space group I4_1md (No. 109)
Inequivalent atoms, fractional coordinates:
Hf  0.000  0.286  0.000 x8
Hf  0.000  0.307  0.431 x8
Cu  0.000  0.000  0.485 x4
C  0.000  0.000  0.953 x4


2.
Entry from the Alexandria database: a geometry-optimized Er2AlRh3 structure (PBE).

## Properties
ΔE_f   -0.605 eV/atom
Calculated total energy   -6.42 eV/atom
Energy above the most stable polymorph in this dataset   346.9 meV/atom
Magnetization   0.0000 μB/atom

Unit cell a=4.383 b=5.313 c=9.873 alpha=90.00 beta=90.00 gamma=90.00
Space group Immm (No. 71)
Inequivalent atoms, fractional coordinates:
Er  0.000  0.000  0.184 x4
Al  0.000  0.000  0.500 x2
Rh  0.000  0.500  0.135 x4
Rh  0.000  0.500  0.500 x2


3.
Entry from the Alexandria database: a geometry-optimized LiFe2W structure (PBE).

## Properties
ΔE_f   0.371 eV/atom
Calculated total energy   -7.58 eV/atom
Magnetization   1.1422 μB/atom

Unit cell a=2.592 b=2.592 c=8.138 alpha=90.00 beta=90.00 gamma=90.00
Space group P4/mmm (No. 123)
Inequivalent atoms, fractional coordinates:
Li  0.000  0.000  0.000 x1
Fe  0.500  0.500  0.249 x2
W  0.000  0.000  0.500 x1


4.
Entry from the Alexandria database: a geometry-optimized Ag2GeCl structure (PBE).

## Properties
Calculated total energy   -2.70 eV/atom
Raw formation energy   340 meV per atom
Energy above the most stable polymorph in this dataset   219.6 meV/atom
Magnetization   0.0000 μB/atom

Unit cell a=6.869 b=6.869 c=6.869 alpha=90.00 beta=90.00 gamma=90.00
Space group Fm-3m (No. 225)
Inequivalent atoms, fractional coordinates:
Ag  0.250  0.250  0.250 x8
Ge  0.000  0.000  0.000 x4
Cl  0.000  0.000  0.500 x4


5.
Entry from the Alexandria database: a geometry-optimized ZrFeOs2 structure (PBE).

## Properties
ΔE_f   0.005 eV/atom
Calculated total energy   -9.86 eV/atom
Energy above the most stable polymorph in this dataset   9.0 meV/atom
Magnetization   0.8238 μB/atom

Unit cell a=4.380 b=4.380 c=3.242 alpha=90.00 beta=90.00 gamma=90.00
Space group P4/mmm (No. 123)
Inequivalent atoms, fractional coordinates:
Zr  0.000  0.000  0.000 x1
Fe  0.500  0.500  0.000 x1
Os  0.000  0.500  0.500 x2


6.
Entry from the Alexandria database: a geometry-optimized CaCd2W structure (PBE).

## Properties
ΔE_f   0.417 eV/atom
Calculated total energy   -3.78 eV/atom
Energy above the most stable polymorph in this dataset   4.8 meV/atom
Magnetization   0.0000 μB/atom

Unit cell a=4.109 b=4.195 c=9.834 alpha=90.00 beta=90.00 gamma=90.00
Space group Cmm2 (No. 35)
Inequivalent atoms, fractional coordinates:
Ca  0.000  0.000  0.000 x2
Cd  0.000  0.000  0.524 x2
Cd  0.000  0.500  0.271 x2
W  0.000  0.500  0.749 x2


7.
Entry from the Alexandria database: a geometry-optimized CuNi2Hg structure (PBE).

## Properties
ΔE_f   0.330 eV/atom
Calculated total energy   -3.66 eV/atom
Magnetization   0.0002 μB/atom

Unit cell a=2.7929 b=2.7929 c=24.9123 alpha=90.00 beta=90.00 gamma=120.00
Space group R-3m (No. 166, hexagonal axes)
Inequivalent atoms, fractional coordinates:
Cu  0.0000  0.0000  0.0000 x3
Ni  0.0000  0.0000  0.2567 x6
Hg  0.0000  0.0000  0.5000 x3


8.
Entry from the Alexandria database: a geometry-optimized Tb4AlTl2 structure (PBE).

## Properties
ΔE_f   -0.204 eV/atom
Calculated total energy   -4.06 eV/atom
Energy above the most stable polymorph in this dataset   33.1 meV/atom
Magnetization   0.0000 μB/atom

Unit cell a=5.2393 b=5.2393 c=25.7024 alpha=90.00 beta=90.00 gamma=120.00
Space group R-3m (No. 166, hexagonal axes)
Inequivalent atoms, fractional coordinates:
Tb  0.0000  0.0000  0.1242 x6
Tb  0.0000  0.0000  0.3758 x6
Al  0.0000  0.0000  0.0000 x3
Tl  0.0000  0.0000  0.2467 x6


9.
Entry from the Alexandria database: a geometry-optimized Tm2CdSb structure (PBE).

## Properties
Calculated total energy   -4.05 eV/atom
Raw formation energy   -551 meV per atom
Energy above the most stable polymorph in this dataset   0.0 meV/atom
Magnetization   0.0986 μB/atom

Unit cell a=3.883 b=3.883 c=6.804 alpha=90.00 beta=90.00 gamma=90.00
Space group P4/mmm (No. 123)
Inequivalent atoms, fractional coordinates:
Tm  0.000  0.000  0.245 x2
Cd  0.500  0.500  0.500 x1
Sb  0.500  0.500  0.000 x1


10.
Entry from the Alexandria database: a geometry-optimized TlGaCl6 structure (PBE).

## Properties
Calculated total energy   -2.82 eV/atom
Raw formation energy   -757 meV per atom
Magnetization   0.0000 μB/atom

Unit cell a=6.3667 b=6.3667 c=17.1020 alpha=90.00 beta=90.00 gamma=120.00
Space group R-3 (No. 148, hexagonal axes)
Inequivalent atoms, fractional coordinates:
Tl  0.0000  0.0000  0.0000 x3
Ga  0.0000  0.0000  0.5000 x3
Cl  0.0044  0.6895  0.4212 x18


11.
Entry from the Alexandria database: a geometry-optimized ThTiCu2 structure (PBE).

## Properties
ΔE_f   -0.001 eV/atom
Calculated total energy   -5.88 eV/atom
Energy above the most stable polymorph in this dataset   14.6 meV/atom
Magnetization   0.2575 μB/atom

Unit cell a=4.3935 b=4.3935 c=14.2127 alpha=90.00 beta=90.00 gamma=120.00
Space group R-3m (No. 166, hexagonal axes)
Inequivalent atoms, fractional coordinates:
Th  0.0000  0.0000  0.0000 x3
Ti  0.0000  0.0000  0.5000 x3
Cu  0.0000  0.0000  0.2060 x6


12.
Entry from the Alexandria database: a geometry-optimized CeY2Si6 structure (PBE).

## Properties
Calculated total energy   -6.30 eV/atom
Raw formation energy   -593 meV per atom
Magnetization   0.0000 μB/atom

Unit cell a=7.0724 b=7.0724 c=4.0149 alpha=90.00 beta=90.00 gamma=120.00
Space group P6/mmm (No. 191)
Inequivalent atoms, fractional coordinates:
Ce  0.0000  0.0000  0.0000 x1
Y  0.3333  0.6667  0.0000 x2
Si  0.0000  0.3340  0.5000 x6


13.
Entry from the Alexandria database: a geometry-optimized AlAgSn structure (PBE).

## Properties
ΔE_f   0.065 eV/atom
Calculated total energy   -3.47 eV/atom
Magnetization   0.0000 μB/atom

Unit cell a=3.433 b=3.433 c=22.295 alpha=90.00 beta=90.00 gamma=90.00
Space group I4/mmm (No. 139)
Inequivalent atoms, fractional coordinates:
Al  0.000  0.000  0.216 x4
Ag  0.000  0.000  0.342 x4
Sn  0.000  0.000  0.071 x4


14.
Entry from the Alexandria database: a geometry-optimized Rb2CuOsN structure (PBE).

## Properties
Calculated total energy   -3.89 eV/atom
Raw formation energy   1224 meV per atom
Magnetization   0.5343 μB/atom

Unit cell a=6.408 b=6.408 c=3.433 alpha=90.00 beta=90.00 gamma=90.00
Space group P4/mmm (No. 123)
Inequivalent atoms, fractional coordinates:
Rb  0.000  0.500  0.000 x2
Cu  0.000  0.000  0.500 x1
Os  0.500  0.500  0.500 x1
N  0.000  0.000  0.000 x1


15.
Entry from the Alexandria database: a geometry-optimized SrLiMg2Au structure (PBE).

## Properties
ΔE_f   -0.246 eV/atom
Calculated total energy   -2.26 eV/atom
Magnetization   0.0000 μB/atom

Unit cell a=5.206 b=5.206 c=5.135 alpha=90.00 beta=90.00 gamma=90.00
Space group P4/mmm (No. 123)
Inequivalent atoms, fractional coordinates:
Sr  0.000  0.000  0.000 x1
Li  0.500  0.500  0.000 x1
Mg  0.000  0.500  0.500 x2
Au  0.500  0.500  0.500 x1


16.
Entry from the Alexandria database: a geometry-optimized Tb8Te4Pt3Rh structure (PBE).

## Properties
Calculated total energy   -5.92 eV/atom
Raw formation energy   -1225 meV per atom
Magnetization   0.0000 μB/atom

Unit cell a=8.3171 b=8.3171 c=21.9499 alpha=90.00 beta=90.00 gamma=120.00
Space group R-3m (No. 166, hexagonal axes)
Inequivalent atoms, fractional coordinates:
Tb  0.0000  0.0000  0.2368 x6
Tb  0.0053  0.5027  0.2366 x18
Te  0.0000  0.0000  0.0000 x3
Te  0.0000  0.5000  0.0000 x9
Pt  0.0000  0.5000  0.5000 x9
Rh  0.0000  0.0000  0.5000 x3


17.
Entry from the Alexandria database: a geometry-optimized AcCe5Te8 structure (PBE).

## Properties
Calculated total energy   -5.63 eV/atom
Raw formation energy   -1421 meV per atom
Magnetization   0.5003 μB/atom

Unit cell a=9.628 b=9.628 c=9.610 alpha=90.00 beta=90.00 gamma=90.00
Space group I-4 (No. 82)
Inequivalent atoms, fractional coordinates:
Ac  0.000  0.000  0.000 x2
Ce  0.000  0.500  0.750 x2
Ce  0.126  0.251  0.375 x8
Te  0.076  0.176  0.698 x8
Te  0.079  0.332  0.050 x8


18.
Entry from the Alexandria database: a geometry-optimized Ag5I3Cl12 structure (PBE).

## Properties
Calculated total energy   -2.18 eV/atom
Raw formation energy   -131 meV per atom
Magnetization   0.0992 μB/atom

Unit cell a=16.933 b=16.933 c=16.933 alpha=90.00 beta=90.00 gamma=90.00
Space group Ia-3d (No. 230)
Inequivalent atoms, fractional coordinates:
Ag  0.000  0.000  0.000 x16
Ag  0.000  0.250  0.375 x24
I  0.000  0.250  0.125 x24
Cl  0.008  0.035  0.659 x96


19.
Entry from the Alexandria database: a geometry-optimized TaIn2P structure (PBE).

## Properties
ΔE_f   0.408 eV/atom
Calculated total energy   -5.28 eV/atom
Magnetization   0.0000 μB/atom

Unit cell a=4.137 b=4.137 c=9.196 alpha=90.00 beta=90.00 gamma=90.00
Space group I-4m2 (No. 119)
Inequivalent atoms, fractional coordinates:
Ta  0.000  0.000  0.000 x2
In  0.000  0.000  0.500 x2
In  0.000  0.500  0.750 x2
P  0.000  0.500  0.250 x2


20.
Entry from the Alexandria database: a geometry-optimized PrY2PaAs4 structure (PBE).

## Properties
ΔE_f   -1.410 eV/atom
Calculated total energy   -7.14 eV/atom
Magnetization   0.0481 μB/atom

Unit cell a=7.168 b=4.165 c=7.222 alpha=90.00 beta=109.47 gamma=90.00
Space group P2/m (No. 10)
Inequivalent atoms, fractional coordinates:
Pr  0.000  0.000  0.000 x1
Y  0.500  0.000  0.500 x1
Y  0.500  0.500  0.000 x1
Pa  0.000  0.500  0.500 x1
As  0.250  0.000  0.743 x2
As  0.254  0.500  0.261 x2


21.
Entry from the Alexandria database: a geometry-optimized ScFe2Pd9 structure (PBE).

## Properties
ΔE_f   -0.340 eV/atom
Calculated total energy   -6.17 eV/atom
Magnetization   0.7130 μB/atom

Unit cell a=3.933 b=3.933 c=11.782 alpha=90.00 beta=90.00 gamma=90.00
Space group P4/mmm (No. 123)
Inequivalent atoms, fractional coordinates:
Sc  0.000  0.000  0.000 x1
Fe  0.000  0.000  0.336 x2
Pd  0.000  0.500  0.174 x4
Pd  0.000  0.500  0.500 x2
Pd  0.500  0.500  0.000 x1
Pd  0.500  0.500  0.337 x2